[1]
Below is a relaxed structure of TmMnCoSi3, with properties calculated at the PBE-GGA level.

Cell and atoms, written as POSCAR:
```
TmMnCoSi3
1.0
2.942 -5.726 0.000
2.942 5.726 0.000
0.000 0.000 5.777
Tm Mn Co Si
2 2 2 6
direct
0.242 0.758 0.750 Tm
0.758 0.242 0.250 Tm
0.019 0.981 0.250 Mn
0.981 0.019 0.750 Mn
0.387 0.613 0.250 Co
0.613 0.387 0.750 Co
0.204 0.796 0.250 Si
0.297 0.297 0.000 Si
0.297 0.297 0.500 Si
0.703 0.703 0.000 Si
0.703 0.703 0.500 Si
0.796 0.204 0.750 Si
```

Calculated values
Raw total energy   -77.5 eV per cell
Uncorrected formation energy   -28 kJ/mol of atoms
Space-group type   Cmcm

[2]
Below is a relaxed structure of Sr2GaCu4Ge3, with properties calculated at the PBE-GGA level.

Cell and atoms, written as POSCAR:
```
Sr2GaCu4Ge3
1.0
4.317 0.000 0.000
0.000 4.317 0.000
0.000 0.000 10.173
Sr Ga Cu Ge
2 1 4 3
direct
0.000 0.500 0.245 Sr
0.500 0.000 0.755 Sr
0.000 0.000 0.500 Ga
0.000 0.000 0.000 Cu
0.000 0.500 0.631 Cu
0.500 0.000 0.369 Cu
0.500 0.500 0.000 Cu
0.000 0.500 0.876 Ge
0.500 0.000 0.124 Ge
0.500 0.500 0.500 Ge
```

Calculated values
Raw total energy   -40.1 eV per cell
ΔE_f   -344.0 meV/atom
Space-group type   P-4m2

[3]
Below is a relaxed structure of Sb2TeSe, with properties calculated at the PBE-GGA level.

Cell and atoms, written as POSCAR:
```
Sb2TeSe
1.0
4.340 0.000 0.000
-2.170 3.758 0.000
0.000 0.000 21.243
Sb Te Se
6 3 3
direct
0.000 0.000 0.000 Sb
0.000 0.000 0.250 Sb
0.333 0.667 0.667 Sb
0.333 0.667 0.916 Sb
0.667 0.333 0.333 Sb
0.667 0.333 0.583 Sb
0.000 0.000 0.497 Te
0.333 0.667 0.164 Te
0.667 0.333 0.830 Te
0.000 0.000 0.743 Se
0.333 0.667 0.409 Se
0.667 0.333 0.076 Se
```

Calculated values
Raw total energy   -44.4 eV per cell
Uncorrected formation energy   2 kJ/mol of atoms
Space-group type   R3m

[4]
Below is a relaxed structure of PrDyY2S6, with properties calculated at the PBE-GGA level.

Cell and atoms, written as POSCAR:
```
PrDyY2S6
1.0
3.503 2.023 6.205
-3.503 2.023 6.205
0.000 -4.045 6.205
Pr Dy Y S
1 1 2 6
direct
0.000 0.000 0.000 Pr
0.494 0.494 0.494 Dy
0.291 0.291 0.291 Y
0.795 0.795 0.795 Y
0.089 0.675 0.413 S
0.194 0.586 0.894 S
0.413 0.089 0.675 S
0.586 0.894 0.194 S
0.675 0.413 0.089 S
0.894 0.194 0.586 S
```

Calculated values
Raw total energy   -67.5 eV per cell
Uncorrected formation energy   -197 kJ/mol of atoms
Space-group type   R3

[5]
Below is a relaxed structure of TiSnSb2I, with properties calculated at the PBE-GGA level.

Cell and atoms, written as POSCAR:
```
TiSnSb2I
1.0
5.335 0.000 0.000
0.000 5.335 0.000
0.000 0.000 5.511
Ti Sn Sb I
1 1 2 1
direct
0.000 0.000 0.000 Ti
0.500 0.500 0.500 Sn
0.000 0.500 0.000 Sb
0.500 0.000 0.000 Sb
0.000 0.000 0.500 I
```

Calculated values
Raw total energy   -20.8 eV per cell
Uncorrected formation energy   18 kJ/mol of atoms
Space-group type   P4/mmm

[6]
Below is a relaxed structure of ThMn2S4, with properties calculated at the PBE-GGA level.

Cell and atoms, written as POSCAR:
```
ThMn2S4
1.0
-4.283 4.283 4.018
4.283 -4.283 4.018
4.283 4.283 -4.018
Th Mn S
2 4 8
direct
0.375 0.625 0.750 Th
0.625 0.375 0.250 Th
0.000 0.000 0.000 Mn
0.000 0.000 0.500 Mn
0.000 0.500 0.000 Mn
0.500 0.000 0.500 Mn
0.133 0.699 0.433 S
0.234 0.301 0.933 S
0.301 0.234 0.433 S
0.301 0.867 0.067 S
0.699 0.133 0.933 S
0.699 0.766 0.567 S
0.766 0.699 0.067 S
0.867 0.301 0.567 S
```

Calculated values
Raw total energy   -99.8 eV per cell
Uncorrected formation energy   -105 kJ/mol of atoms
Space-group type   I4_1/amd

[7]
Below is a relaxed structure of HfRh2ICl, with properties calculated at the PBE-GGA level.

Cell and atoms, written as POSCAR:
```
HfRh2ICl
1.0
4.823 0.000 0.000
0.000 4.823 0.000
0.000 0.000 5.396
Hf Rh I Cl
1 2 1 1
direct
0.000 0.000 0.000 Hf
0.000 0.500 0.500 Rh
0.500 0.000 0.500 Rh
0.000 0.000 0.500 I
0.500 0.500 0.000 Cl
```

Calculated values
Raw total energy   -23.1 eV per cell
Uncorrected formation energy   96 kJ/mol of atoms
Space-group type   P4/mmm

[8]
Below is a relaxed structure of YZrCl, with properties calculated at the PBE-GGA level.

Cell and atoms, written as POSCAR:
```
YZrCl
1.0
4.039 0.000 0.000
0.000 5.221 0.000
0.000 0.000 13.479
Y Zr Cl
4 4 4
direct
0.000 0.000 0.000 Y
0.000 0.500 0.500 Y
0.500 0.000 0.500 Y
0.500 0.500 0.000 Y
0.000 0.000 0.677 Zr
0.000 0.500 0.177 Zr
0.500 0.000 0.177 Zr
0.500 0.500 0.677 Zr
0.000 0.000 0.333 Cl
0.000 0.500 0.833 Cl
0.500 0.000 0.833 Cl
0.500 0.500 0.333 Cl
```

Calculated values
Raw total energy   -73.9 eV per cell
Uncorrected formation energy   -52 kJ/mol of atoms
Space-group type   Fmm2

[9]
Below is a relaxed structure of RbBe2PRh, with properties calculated at the PBE-GGA level.

Cell and atoms, written as POSCAR:
```
RbBe2PRh
1.0
4.078 0.000 0.000
0.000 4.078 0.000
0.000 0.000 6.134
Rb Be P Rh
1 2 1 1
direct
0.000 0.000 0.000 Rb
0.000 0.500 0.500 Be
0.500 0.000 0.500 Be
0.000 0.000 0.500 P
0.500 0.500 0.000 Rh
```

Calculated values
Raw total energy   -16.2 eV per cell
ΔE_f   997.0 meV/atom
Space-group type   P4/mmm

[10]
Below is a relaxed structure of KSrTlHg, with properties calculated at the PBE-GGA level.

Cell and atoms, written as POSCAR:
```
KSrTlHg
1.0
8.222 0.000 0.000
0.000 8.222 0.000
0.000 0.000 8.222
K Sr Tl Hg
4 4 4 4
direct
0.000 0.000 0.000 K
0.000 0.500 0.500 K
0.500 0.000 0.500 K
0.500 0.500 0.000 K
0.000 0.000 0.500 Sr
0.000 0.500 0.000 Sr
0.500 0.000 0.000 Sr
0.500 0.500 0.500 Sr
0.250 0.250 0.750 Tl
0.250 0.750 0.250 Tl
0.750 0.250 0.250 Tl
0.750 0.750 0.750 Tl
0.250 0.250 0.250 Hg
0.250 0.750 0.750 Hg
0.750 0.250 0.750 Hg
0.750 0.750 0.250 Hg
```

Calculated values
Raw total energy   -25.4 eV per cell
ΔE_f   -225.8 meV/atom
Space-group type   F-43m

[11]
Below is a relaxed structure of AlCd2P, with properties calculated at the PBE-GGA level.

Cell and atoms, written as POSCAR:
```
AlCd2P
1.0
4.014 0.000 0.000
0.000 4.014 0.000
0.000 0.000 9.878
Al Cd P
2 4 2
direct
0.000 0.000 0.000 Al
0.500 0.500 0.500 Al
0.000 0.500 0.250 Cd
0.000 0.500 0.750 Cd
0.500 0.000 0.250 Cd
0.500 0.000 0.750 Cd
0.000 0.000 0.500 P
0.500 0.500 0.000 P
```

Calculated values
Raw total energy   -19.8 eV per cell
ΔE_f   271.4 meV/atom
Space-group type   I4/mmm

[12]
Below is a relaxed structure of EuZnInGe, with properties calculated at the PBE-GGA level.

Cell and atoms, written as POSCAR:
```
EuZnInGe
1.0
7.195 0.000 0.000
0.000 7.195 0.000
0.000 0.000 7.195
Eu Zn In Ge
4 4 4 4
direct
0.000 0.000 0.000 Eu
0.000 0.500 0.500 Eu
0.500 0.000 0.500 Eu
0.500 0.500 0.000 Eu
0.250 0.250 0.250 Zn
0.250 0.750 0.750 Zn
0.750 0.250 0.750 Zn
0.750 0.750 0.250 Zn
0.000 0.000 0.500 In
0.000 0.500 0.000 In
0.500 0.000 0.000 In
0.500 0.500 0.500 In
0.250 0.250 0.750 Ge
0.250 0.750 0.250 Ge
0.750 0.250 0.250 Ge
0.750 0.750 0.750 Ge
```

Calculated values
Raw total energy   -79.3 eV per cell
ΔE_f   -227.7 meV/atom
Space-group type   F-43m

[13]
Below is a relaxed structure of YSnH2, with properties calculated at the PBE-GGA level.

Cell and atoms, written as POSCAR:
```
YSnH2
1.0
6.164 0.000 0.000
0.000 6.164 0.000
0.000 0.000 6.164
Y Sn H
4 4 8
direct
0.000 0.000 0.000 Y
0.000 0.500 0.500 Y
0.500 0.000 0.500 Y
0.500 0.500 0.000 Y
0.000 0.000 0.500 Sn
0.000 0.500 0.000 Sn
0.500 0.000 0.000 Sn
0.500 0.500 0.500 Sn
0.250 0.250 0.250 H
0.250 0.250 0.750 H
0.250 0.750 0.250 H
0.250 0.750 0.750 H
0.750 0.250 0.250 H
0.750 0.250 0.750 H
0.750 0.750 0.250 H
0.750 0.750 0.750 H
```

Calculated values
Raw total energy   -68.3 eV per cell
Space-group type   Fm-3m

[14]
Below is a relaxed structure of LiZnP2, with properties calculated at the PBE-GGA level.

Cell and atoms, written as POSCAR:
```
LiZnP2
1.0
3.249 0.000 0.000
0.000 3.249 0.000
0.000 0.000 6.292
Li Zn P
1 1 2
direct
0.000 0.000 0.000 Li
0.500 0.500 0.725 Zn
0.000 0.000 0.422 P
0.500 0.500 0.312 P
```

Calculated values
Raw total energy   -13.8 eV per cell
ΔE_f   59.4 meV/atom
Space-group type   P4mm

[15]
Below is a relaxed structure of Zn2NiRu, with properties calculated at the PBE-GGA level.

Cell and atoms, written as POSCAR:
```
Zn2NiRu
1.0
6.724 0.000 0.000
0.000 6.724 0.000
0.000 0.000 5.088
Zn Ni Ru
8 4 4
direct
0.232 0.250 0.125 Zn
0.250 0.732 0.375 Zn
0.250 0.768 0.875 Zn
0.268 0.250 0.625 Zn
0.732 0.750 0.625 Zn
0.750 0.232 0.875 Zn
0.750 0.268 0.375 Zn
0.768 0.750 0.125 Zn
0.000 0.000 0.000 Ni
0.000 0.500 0.250 Ni
0.500 0.000 0.750 Ni
0.500 0.500 0.500 Ni
0.000 0.000 0.500 Ru
0.000 0.500 0.750 Ru
0.500 0.000 0.250 Ru
0.500 0.500 0.000 Ru
```

Calculated values
Raw total energy   -64.9 eV per cell
ΔE_f   343.4 meV/atom
Space-group type   I-42d

[16]
Below is a relaxed structure of PrGdDy2, with properties calculated at the PBE-GGA level.

Cell and atoms, written as POSCAR:
```
PrGdDy2
1.0
5.093 0.000 0.000
0.000 5.093 0.000
0.000 0.000 5.061
Pr Gd Dy
1 1 2
direct
0.000 0.000 0.000 Pr
0.500 0.500 0.000 Gd
0.000 0.500 0.500 Dy
0.500 0.000 0.500 Dy
```

Calculated values
Raw total energy   -28.0 eV per cell
ΔE_f   16.1 meV/atom
Space-group type   P4/mmm

[17]
Below is a relaxed structure of UPa3Tl4O12, with properties calculated at the PBE-GGA level.

Cell and atoms, written as POSCAR:
```
UPa3Tl4O12
1.0
-4.393 4.393 4.393
4.393 -4.393 4.393
4.393 4.393 -4.393
U Pa Tl O
1 3 4 12
direct
0.000 0.000 0.000 U
0.000 0.500 0.500 Pa
0.500 0.000 0.500 Pa
0.500 0.500 0.000 Pa
0.000 0.000 0.500 Tl
0.000 0.500 0.000 Tl
0.500 0.000 0.000 Tl
0.500 0.500 0.500 Tl
0.000 0.248 0.248 O
0.000 0.752 0.752 O
0.248 0.000 0.248 O
0.248 0.248 0.000 O
0.250 0.500 0.750 O
0.250 0.750 0.500 O
0.500 0.250 0.750 O
0.500 0.750 0.250 O
0.750 0.250 0.500 O
0.750 0.500 0.250 O
0.752 0.000 0.752 O
0.752 0.752 0.000 O
```

Calculated values
Raw total energy   -162.7 eV per cell
Uncorrected formation energy   -260 kJ/mol of atoms
Space-group type   Im-3m

[18]
Below is a relaxed structure of Cs2NaZnAu, with properties calculated at the PBE-GGA level.

Cell and atoms, written as POSCAR:
```
Cs2NaZnAu
1.0
6.913 0.000 0.000
0.000 6.913 0.000
0.000 0.000 5.746
Cs Na Zn Au
2 1 1 1
direct
0.000 0.500 0.000 Cs
0.500 0.000 0.000 Cs
0.000 0.000 0.500 Na
0.500 0.500 0.500 Zn
0.000 0.000 0.000 Au
```

Calculated values
Raw total energy   -7.4 eV per cell
ΔE_f   31.0 meV/atom
Space-group type   P4/mmm

[19]
Below is a relaxed structure of Pr2Sm4Y5, with properties calculated at the PBE-GGA level.

Cell and atoms, written as POSCAR:
```
Pr2Sm4Y5
1.0
12.119 -1.746 0.000
12.119 1.746 0.000
-0.951 0.000 8.814
Pr Sm Y
2 4 5
direct
0.090 0.090 0.238 Pr
0.910 0.910 0.762 Pr
0.046 0.046 0.860 Sm
0.321 0.321 0.029 Sm
0.679 0.679 0.971 Sm
0.954 0.954 0.140 Sm
0.141 0.141 0.617 Y
0.232 0.232 0.327 Y
0.500 0.500 0.500 Y
0.768 0.768 0.673 Y
0.859 0.859 0.383 Y
```

Calculated values
Raw total energy   -59.2 eV per cell
ΔE_f   142.6 meV/atom
Space-group type   C2/m

[20]
Below is a relaxed structure of CoHgP2, with properties calculated at the PBE-GGA level.

Cell and atoms, written as POSCAR:
```
CoHgP2
1.0
3.886 0.000 0.000
0.000 3.886 0.000
0.000 0.000 8.332
Co Hg P
2 2 4
direct
0.000 0.000 0.000 Co
0.500 0.500 0.500 Co
0.000 0.500 0.750 Hg
0.500 0.000 0.250 Hg
0.000 0.000 0.500 P
0.000 0.500 0.250 P
0.500 0.000 0.750 P
0.500 0.500 0.000 P
```

Calculated values
Raw total energy   -30.6 eV per cell
ΔE_f   726.0 meV/atom
Space-group type   I-4m2

[21]
Below is a relaxed structure of NpGeH2Ru, with properties calculated at the PBE-GGA level.

Cell and atoms, written as POSCAR:
```
NpGeH2Ru
1.0
1.990 -5.256 0.000
1.990 5.256 0.000
0.000 0.000 5.790
Np Ge H Ru
2 2 4 2
direct
0.208 0.792 0.750 Np
0.792 0.208 0.250 Np
0.079 0.921 0.250 Ge
0.921 0.079 0.750 Ge
0.336 0.664 0.065 H
0.336 0.664 0.435 H
0.664 0.336 0.565 H
0.664 0.336 0.935 H
0.500 0.500 0.000 Ru
0.500 0.500 0.500 Ru
```

Calculated values
Raw total energy   -70.3 eV per cell
Space-group type   Cmcm

[22]
Below is a relaxed structure of Li3NiN2, with properties calculated at the PBE-GGA level.

Cell and atoms, written as POSCAR:
```
Li3NiN2
1.0
3.408 -3.107 0.000
3.408 3.107 0.000
0.000 0.000 6.025
Li Ni N
6 2 4
direct
0.225 0.775 0.750 Li
0.306 0.306 0.000 Li
0.306 0.306 0.500 Li
0.694 0.694 0.000 Li
0.694 0.694 0.500 Li
0.775 0.225 0.250 Li
0.168 0.832 0.250 Ni
0.832 0.168 0.750 Ni
0.000 0.000 0.000 N
0.000 0.000 0.500 N
0.453 0.547 0.250 N
0.547 0.453 0.750 N
```

Calculated values
Raw total energy   -58.9 eV per cell
Uncorrected formation energy   -21 kJ/mol of atoms
Space-group type   Cmcm

[23]
Below is a relaxed structure of Na2OsPbO6, with properties calculated at the PBE-GGA level.

Cell and atoms, written as POSCAR:
```
Na2OsPbO6
1.0
4.950 -2.968 0.000
4.950 2.968 0.000
-3.226 0.000 4.844
Na Os Pb O
2 1 1 6
direct
0.247 0.247 0.214 Na
0.753 0.753 0.786 Na
0.500 0.500 0.000 Os
0.000 0.000 0.500 Pb
0.202 0.649 0.132 O
0.296 0.296 0.659 O
0.351 0.798 0.868 O
0.649 0.202 0.132 O
0.704 0.704 0.341 O
0.798 0.351 0.868 O
```

Calculated values
Raw total energy   -59.4 eV per cell
Uncorrected formation energy   -117 kJ/mol of atoms
Space-group type   C2/m

[24]
Below is a relaxed structure of Ca2AlZn, with properties calculated at the PBE-GGA level.

Cell and atoms, written as POSCAR:
```
Ca2AlZn
1.0
5.291 0.000 0.000
0.000 5.291 0.000
0.000 0.000 3.637
Ca Al Zn
2 1 1
direct
0.000 0.500 0.000 Ca
0.500 0.000 0.000 Ca
0.000 0.000 0.500 Al
0.500 0.500 0.500 Zn
```

Calculated values
Raw total energy   -9.9 eV per cell
ΔE_f   -214.7 meV/atom
Space-group type   P4/mmm